Density functional theory data (GGA+U) for a relaxed structure of K2FeH2Cl5O.

Unit cell a=13.9700 b=9.3688 c=7.6030 alpha=90.00 beta=90.00 gamma=90.00
Positions (direct):
K 0.1530 0.0018 0.1175
K 0.1530 0.4982 0.1175
K 0.3470 0.5018 0.6175
K 0.3470 0.9982 0.6175
K 0.6530 0.0018 0.3825
K 0.6530 0.4982 0.3825
K 0.8470 0.5018 0.8825
K 0.8470 0.9982 0.8825
Fe 0.1061 0.7500 0.6889
Fe 0.3939 0.2500 0.1889
Fe 0.6061 0.7500 0.8111
Fe 0.8939 0.2500 0.3111
H 0.0388 0.1649 0.5267
H 0.0388 0.3351 0.5267
H 0.4612 0.6649 0.0267
H 0.4612 0.8351 0.0267
H 0.5388 0.1649 0.9733
H 0.5388 0.3351 0.9733
H 0.9612 0.6649 0.4733
H 0.9612 0.8351 0.4733
Cl 0.0090 0.7500 0.9551
Cl 0.0995 0.0060 0.6902
Cl 0.0995 0.4940 0.6902
Cl 0.1998 0.7500 0.4219
Cl 0.2474 0.7500 0.8636
Cl 0.2526 0.2500 0.3636
Cl 0.3002 0.2500 0.9219
Cl 0.4005 0.5060 0.1902
Cl 0.4005 0.9940 0.1902
Cl 0.4910 0.2500 0.4551
Cl 0.5090 0.7500 0.5449
Cl 0.5995 0.0060 0.8098
Cl 0.5995 0.4940 0.8098
Cl 0.6998 0.7500 0.0781
Cl 0.7474 0.7500 0.6364
Cl 0.7526 0.2500 0.1364
Cl 0.8002 0.2500 0.5781
Cl 0.9005 0.5060 0.3098
Cl 0.9005 0.9940 0.3098
Cl 0.9910 0.2500 0.0449
O 0.0195 0.2500 0.4578
O 0.4805 0.7500 0.9578
O 0.5195 0.2500 0.0422
O 0.9805 0.7500 0.5422

Calculated values
- M_tot: 5.03 μB/f.u.
- Total energy: -3.969 eV/atom